No. 1
DySi3Au3 | PBE | optimized geometry

For the spin magnetization, the calculation gives 0.0000 μB/atom. Its uncorrected formation energy is 0.0265 eV per atom. The density of states at the Fermi level comes out at 8.26 states/eV/cell. The calculation puts the electronic total energy at -4.36 eV/atom.

a = 6.8024 Å, b = 6.8024 Å, c = 6.8024 Å
α = 90.00°, β = 90.00°, γ = 90.00°
Closest atoms and distances in Å follow each position.
Space group Pm-3n (No. 223)
Inequivalent atoms, fractional coordinates:
Dy (0.0000, 0.0000, 0.0000) x2  12 Si 3.80, 12 Au 3.80
Si (0.0000, 0.2500, 0.5000) x6  4 Au 2.41
Au (0.0000, 0.5000, 0.2500) x6  4 Si 2.41



No. 2
CrInPt | PBE | optimized geometry

For the spin magnetization, the calculation gives 1.2908 μB/atom. The value obtained for the formation energy is 19.8 meV per atom. The density of states at the Fermi level comes out at 1.61 states/eV/cell. The calculation puts the electronic total energy at -6.11 eV/atom.

a = 4.5832 Å, b = 4.5832 Å, c = 2.9405 Å
α = 90.00°, β = 90.00°, γ = 120.00°
Closest atoms and distances in Å follow each position.
Space group P3m1 (No. 156)
Inequivalent atoms, fractional coordinates:
Cr (0.0000, 0.0000, 0.0000) x1  2 Cr 2.94, 6 Pt 2.99-3.06, 6 In 3.01-3.04
In (0.3333, 0.6667, 0.4881) x1  3 Pt 2.65, 2 In 2.94
Pt (0.6667, 0.3333, 0.5231) x1  3 In 2.65, 2 Pt 2.94



No. 3
Dy3NiSn3 | PBE | optimized geometry

For the spin magnetization, the calculation gives 0.0000 μB/atom. The value obtained for the formation energy is -691.2 meV per atom. The density of states at the Fermi level comes out at 18.04 states/eV/cell. The calculation puts the electronic total energy at -5.20 eV/atom.

a = 11.1126 Å, b = 4.4515 Å, c = 14.8002 Å
α = 90.00°, β = 109.56°, γ = 90.00°
Closest atoms and distances in Å follow each position.
Space group C2/m (No. 12)
Inequivalent atoms, fractional coordinates:
Dy (0.0247, 0.0000, 0.3829) x4  7 Sn 3.09-3.40, 3 Ni 3.18-3.26
Dy (0.0936, 0.0000, 0.9195) x4  7 Sn 3.02-3.37
Dy (0.2424, 0.0000, 0.2346) x4  6 Sn 3.14-3.25, 2 Ni 3.20
Ni (0.2419, 0.5000, 0.3895) x4  4 Sn 2.57-2.74
Sn (0.0319, 0.5000, 0.2400) x4  1 Ni 2.62
Sn (0.1324, 0.5000, 0.0763) x4  2 Sn 2.99-3.05, 5 Dy 3.02-3.17
Sn (0.1512, 0.5000, 0.5404) x4  3 Ni 2.57-2.74



No. 4
ZrTaH4 | PBE | optimized geometry

For the spin magnetization, the calculation gives 0.0000 μB/atom. The density of states at the Fermi level comes out at 14.46 states/eV/cell. The calculation puts the electronic total energy at -5.98 eV/atom.

a = 6.5326 Å, b = 6.5779 Å, c = 9.3801 Å
α = 90.00°, β = 90.00°, γ = 90.00°
Closest atoms and distances in Å follow each position.
Space group Fddd (No. 70, origin choice 2)
Inequivalent atoms, fractional coordinates:
Zr (0.1250, 0.1250, 0.1250) x8  8 H 2.06
Ta (0.1250, 0.1250, 0.6250) x8  8 H 1.97
H (0.1164, 0.3666, 0.7494) x32  2 Ta 1.97, 2 Zr 2.06, 1 H 2.16